DFT (PBE-GGA) results for crystalline Th3Au2 at its relaxed geometry.

Summary:
energy of formation	-0.395	eV/atom
E_tot	-0.226	hartree per atom
distance to the lowest polymorph of the same formula	60.5	meV per atom
total magnetization	0.00	Bohr magnetons per cell
symmetry	Pnma (62)

Unit cell a=12.2832 b=3.8564 c=12.1858 alpha=90.00 beta=90.00 gamma=90.00
Last column: nearest neighbours and their distance in Å.
Atoms (fractional coordinates):
Th1 0.0424 0.2500 0.1396  5 Au 3.08-3.32
Th2 0.1313 0.7500 0.5712  5 Au 3.04-3.09
Th3 0.2132 0.2500 0.8027  3 Au 3.10-3.15
Th4 0.2868 0.7500 0.3027  3 Au 3.10-3.15
Th5 0.3687 0.2500 0.0712  5 Au 3.04-3.09
Th6 0.4576 0.7500 0.6396  5 Au 3.08-3.32
Th7 0.5424 0.2500 0.3604  5 Au 3.08-3.32
Th8 0.6313 0.7500 0.9288  5 Au 3.04-3.09
Th9 0.7132 0.2500 0.6973  3 Au 3.10-3.15
Th10 0.7868 0.7500 0.1973  3 Au 3.10-3.15
Th11 0.8687 0.2500 0.4288  5 Au 3.04-3.09
Th12 0.9576 0.7500 0.8604  5 Au 3.08-3.32
Au1 0.0367 0.7500 0.3365  6 Th 3.04-3.10
Au2 0.1862 0.7500 0.0057  7 Th 3.06-3.32
Au3 0.3138 0.2500 0.5057  7 Th 3.06-3.32
Au4 0.4633 0.2500 0.8365  6 Th 3.04-3.10
Au5 0.5367 0.7500 0.1635  6 Th 3.04-3.10
Au6 0.6862 0.7500 0.4943  7 Th 3.06-3.32
Au7 0.8138 0.2500 0.9943  7 Th 3.06-3.32
Au8 0.9633 0.2500 0.6635  6 Th 3.04-3.10